First-principles (PBE-GGA) data for a relaxed structure of AcTlNi, as listed in Alexandria.

Geometry as POSCAR:
```
AcTlNi
1.0
-4.047 -2.592 -0.416
0.679 -0.295 -4.767
5.380 -4.470 3.483
Ac Ni Tl
2 2 2
direct
0.861 0.861 0.723 Ac
0.139 0.139 0.277 Ac
0.000 0.500 0.000 Ni
0.500 0.000 0.000 Ni
0.392 0.392 0.783 Tl
0.608 0.608 0.217 Tl
```

- Final energy: -25.65 eV for the cell shown
- Energy above the most stable polymorph in this dataset: 98 meV per atom
- Calculated volume: 163.6 Å³/cell
- Total magnetization: 0.0 Bohr magnetons per cell
- SG: I4/mmm, No. 139
- ΔE_f: -0.190 eV per atom
- DOS at the Fermi energy: 3.15 states/eV per cell